! Nd8CuSi3I4 | the Alexandria database | PBE-GGA | optimized geometry; values from VASP
! energy relative to the elements, uncorrected	-0.823	eV per atom
! density of states at the Fermi level	9.1	states/eV/cell
! total energy	-4.867	eV per atom
! crystal system	trigonal
&SYSTEM
  ibrav = 0, nat = 16, ntyp = 4
/
ATOMIC_SPECIES
Nd 144.24 Nd.upf
Cu 63.55 Cu.upf
Si 28.09 Si.upf
I 126.90 I.upf
CELL_PARAMETERS angstrom
4.3142 2.4908 7.6748
-4.3142 2.4908 7.6748
0.0000 -4.9816 7.6748
ATOMIC_POSITIONS crystal
Nd 0.2331 0.2331 0.2331
Nd 0.2340 0.7334 0.7334
Nd 0.2666 0.2666 0.7660
Nd 0.2666 0.7660 0.2666
Nd 0.7334 0.2340 0.7334
Nd 0.7334 0.7334 0.2340
Nd 0.7660 0.2666 0.2666
Nd 0.7669 0.7669 0.7669
Cu 0.5000 0.5000 0.5000
Si 0.0000 0.0000 0.5000
Si 0.0000 0.5000 0.0000
Si 0.5000 0.0000 0.0000
I 0.0000 0.0000 0.0000
I 0.0000 0.5000 0.5000
I 0.5000 0.0000 0.5000
I 0.5000 0.5000 0.0000